First-principles (meta-GGA SCAN) data for a PBEsol-optimized structure of SbOs2Au, as listed in Alexandria via LeMat-Bulk.

```
SbOs2Au
1.0
2.991 0.000 0.000
-1.496 2.590 0.000
0.000 0.000 25.361
Sb Os Au
3 6 3
Direct
0.000 0.000 0.000
0.333 0.667 0.667
0.667 0.333 0.333
0.000 0.000 0.254
0.000 0.000 0.746
0.333 0.667 0.413
0.333 0.667 0.920
0.667 0.333 0.080
0.667 0.333 0.587
0.000 0.000 0.500
0.333 0.667 0.167
0.667 0.333 0.833
```

Output
Uncorrected formation energy (meV per atom): 752
SG: R-3m (166)

=====

First-principles (meta-GGA SCAN) data for a PBEsol-optimized structure of Y4MgAu, as listed in Alexandria via LeMat-Bulk.

```
Y4MgAu
1.0
0.000 4.336 4.336
4.336 0.000 4.336
4.336 4.336 0.000
Y Mg Au
4 1 1
Direct
0.125 0.125 0.125
0.125 0.125 0.626
0.125 0.626 0.125
0.626 0.125 0.125
0.500 0.500 0.500
0.750 0.750 0.750
```

Output
SG: F-43m (216)

=====

So what do the calculations give for magnetization? Going down the list: 0.00 0.00 Bohr magnetons per cell.
So what do the calculations give for electronic total energy? Going down the list: -741.503 -183.632 eV/cell.
So what do the calculations give for density of states at the Fermi level? Going down the list: 2.74 5.02 states/eV/f.u..